# 1
Computed, not measured: a relaxed TbPrDy3Tm crystal at the PBE level of DFT.

Cell lengths 22.2590, 5.4032, 6.7969 Å; angles 90.00, 98.05, 90.00 degrees
Last column: nearest neighbours and their distance in Å.
Space group C2/m (No. 12)
Asymmetric unit:
1 Tb 0.1660 0.0000 0.0312 [4 per cell]  6 Dy 3.22-3.59, 1 Pr 3.24, 2 Tm 3.57
2 Pr 0.1297 0.0000 0.4767 [4 per cell]  1 Tb 3.24, 5 Dy 3.32-3.60, 2 Tm 3.61
3 Dy 0.0239 0.0000 0.7756 [4 per cell]  2 Pr 3.32-3.60, 1 Dy 3.37, 1 Tb 3.39, 2 Tm 3.53
4 Dy 0.1711 0.5000 0.7777 [4 per cell]  2 Tb 3.22, 2 Pr 3.44, 1 Dy 3.53, 1 Tm 3.58
5 Dy 0.2259 0.5000 0.3142 [4 per cell]  3 Pr 3.33-3.71, 1 Tm 3.44, 3 Tb 3.47-3.59, 4 Dy 3.53-3.68
6 Tm 0.0725 0.5000 0.1506 [4 per cell]  6 Dy 3.44-3.77, 1 Tm 3.57, 2 Tb 3.57, 2 Pr 3.61

Values from the calculation:
As for the mass density: 7.8 g cm⁻³. The value obtained for the magnetic moment is 0.00 μB per formula unit. For the formation energy, the calculation gives 0.2076 eV per atom.



# 2
Computed, not measured: a relaxed Tb6PrDy2Tm crystal at the PBE level of DFT.

Cell lengths 9.1161, 15.0637, 9.5383 Å; angles 90.00, 96.86, 90.00 degrees
Last column: nearest neighbours and their distance in Å.
Space group C2/c (No. 15)
Asymmetric unit:
1 Tb 0.0626 0.1860 0.4436 [8 per cell]  7 Tb 3.41-3.73, 1 Dy 3.52, 1 Pr 3.69
2 Tb 0.0992 0.3910 0.6182 [8 per cell]  4 Tb 3.22-3.51, 3 Dy 3.26-3.42, 2 Tm 3.41-3.53
3 Tb 0.2105 0.2251 0.8157 [8 per cell]  3 Tb 3.22-3.58, 2 Dy 3.40-3.60, 1 Tm 3.45, 1 Pr 3.58
4 Pr 0.0000 0.0254 0.7500 [4 per cell]  4 Dy 3.39-3.46, 4 Tb 3.58-3.69
5 Dy 0.2468 0.4478 0.9532 [8 per cell]  6 Tb 3.26-3.60, 2 Pr 3.39-3.46, 1 Tm 3.51
6 Tm 0.0000 0.4102 0.2500 [4 per cell]  6 Tb 3.41-3.53, 2 Dy 3.51

Values from the calculation:
As for the mass density: 8.1 g cm⁻³. The value obtained for the magnetic moment is 0.00 μB per formula unit. For the formation energy, the calculation gives 0.1182 eV per atom.



# 3
Computed, not measured: a relaxed Tb2PrDy3Tm6 crystal at the PBE level of DFT.

Cell lengths 6.1221, 10.5970, 11.6638 Å; angles 90.00, 100.06, 90.00 degrees
Last column: nearest neighbours and their distance in Å.
Space group C2/m (No. 12)
Asymmetric unit:
1 Tb 0.0000 0.1667 0.0000 [4 per cell]  3 Tb 3.53, 3 Pr 3.53, 6 Tm 3.54
2 Pr 0.0000 0.5000 0.0000 [2 per cell]  6 Tb 3.53, 6 Tm 3.54
3 Dy 0.0000 0.0000 0.5000 [2 per cell]  6 Tm 3.50, 6 Dy 3.53
4 Dy 0.0000 0.3332 0.5000 [4 per cell]  6 Tm 3.50-3.51, 6 Dy 3.53-3.54
5 Tm 0.2485 0.1669 0.7481 [8 per cell]  3 Dy 3.50-3.51, 6 Tm 3.53-3.54, 2 Tb 3.54, 1 Pr 3.54
6 Tm 0.2504 0.0000 0.2518 [4 per cell]  3 Dy 3.50-3.51, 6 Tm 3.53-3.54, 2 Tb 3.54, 1 Pr 3.54

Values from the calculation:
As for the mass density: 8.7 g cm⁻³. The value obtained for the magnetic moment is 0.00 μB per formula unit. For the formation energy, the calculation gives 0.0219 eV per atom.



# 4
Computed, not measured: a relaxed Tb2PrDy4Tm crystal at the PBE level of DFT.

Cell lengths 6.7969, 11.7665, 13.2500 Å; angles 90.00, 90.00, 90.00 degrees
Last column: nearest neighbours and their distance in Å.
Space group Imma (No. 74)
Asymmetric unit:
1 Tb 0.0000 0.0000 0.0000 [4 per cell]  6 Dy 3.30-3.39, 2 Pr 3.40
2 Tb 0.2500 0.2500 0.2500 [4 per cell]  6 Dy 3.35-3.42, 2 Tb 3.40
3 Pr 0.0000 0.0000 0.5000 [4 per cell]  6 Dy 3.33-3.40, 2 Tb 3.40
4 Dy 0.0000 0.0022 0.7510 [8 per cell]  3 Tb 3.30-3.42, 1 Pr 3.33, 2 Tm 3.38, 2 Dy 3.40
5 Dy 0.2485 0.2500 0.9974 [8 per cell]  1 Tm 3.28, 3 Tb 3.35-3.39, 2 Dy 3.38-3.42, 2 Pr 3.40
6 Tm 0.2500 0.2500 0.7500 [4 per cell]  6 Dy 3.28-3.38, 2 Tm 3.40

Values from the calculation:
As for the mass density: 8.0 g cm⁻³. The value obtained for the magnetic moment is 2.67 μB per formula unit. For the formation energy, the calculation gives 0.4301 eV per atom.



# 5
Computed, not measured: a relaxed TbPr5DyTm2 crystal at the PBE level of DFT.

Cell lengths 5.6587, 20.5318, 10.7590 Å; angles 90.00, 90.00, 90.00 degrees
Last column: nearest neighbours and their distance in Å.
Space group Cmc2_1 (No. 36)
Asymmetric unit:
1 Tb 0.0000 0.1982 0.0000 [4 per cell]  2 Tm 3.40-3.62, 7 Pr 3.53-3.81, 2 Dy 3.61
2 Pr 0.0000 0.0152 0.0053 [4 per cell]  2 Dy 3.29, 3 Tm 3.49-3.57
3 Pr 0.0000 0.2797 0.3020 [4 per cell]  1 Dy 3.09, 1 Tm 3.40, 2 Pr 3.43
4 Pr 0.0000 0.2966 0.6952 [4 per cell]  3 Pr 3.43-3.83, 1 Dy 3.48, 2 Tb 3.53, 3 Tm 3.54-3.80
5 Pr 0.0000 0.3838 0.0097 [4 per cell]  6 Pr 3.62-3.91, 4 Tm 3.65-3.69, 1 Tb 3.81
6 Pr 0.0000 0.4839 0.7325 [4 per cell]  2 Dy 3.24-3.40, 2 Tm 3.54, 2 Pr 3.62
7 Dy 0.0000 0.4080 0.4515 [4 per cell]  5 Pr 3.09-3.40
8 Tm 0.0000 0.1122 0.7296 [4 per cell]  1 Tb 3.40, 7 Pr 3.56-3.80, 2 Dy 3.73
9 Tm 0.0000 0.1142 0.2955 [4 per cell]  9 Pr 3.40-3.72, 1 Tb 3.62

Values from the calculation:
As for the mass density: 7.2 g cm⁻³. The value obtained for the magnetic moment is 0.00 μB per formula unit. For the formation energy, the calculation gives 0.1448 eV per atom.



# 6
Computed, not measured: a relaxed Tb4Pr2DyTm crystal at the PBE level of DFT.

Cell lengths 5.0698, 5.0894, 10.1201 Å; angles 90.00, 90.04, 90.00 degrees
Last column: nearest neighbours and their distance in Å.
Space group P2/m (No. 10)
Asymmetric unit:
1 Tb 0.9998 0.0000 0.2486 [2 per cell]  2 Tm 3.57, 4 Pr 3.58-3.59, 4 Tb 3.59, 2 Dy 3.60
2 Tb 0.5001 0.5000 0.2497 [2 per cell]  4 Pr 3.58-3.59, 2 Dy 3.58-3.59, 2 Tm 3.59, 4 Tb 3.59
3 Pr 0.0000 0.5000 0.0000 [1 per cell]  8 Tb 3.58, 4 Tm 3.59
4 Pr 0.5000 0.0000 0.5000 [1 per cell]  8 Tb 3.59, 4 Dy 3.59
5 Dy 0.0000 0.5000 0.5000 [1 per cell]  8 Tb 3.58-3.60, 4 Pr 3.59
6 Tm 0.5000 0.0000 0.0000 [1 per cell]  8 Tb 3.57-3.59, 4 Pr 3.59

Values from the calculation:
As for the mass density: 7.9 g cm⁻³. The value obtained for the magnetic moment is 0.00 μB per formula unit. For the formation energy, the calculation gives 0.0207 eV per atom.